Entry 1:
First-principles (PBE) data for a geometry-optimized Sm2TmHg8 structure, as listed in Alexandria via LeMat-Bulk.

```
11
Lattice="-3.3511 2.2115 3.0010 2.1399 -4.2053 5.4886 6.0185 5.6158 -1.6041" Properties=species:S:1:pos:R:3 pbc="T T T"
Hg 3.1289 4.0389 0.5176
Hg 1.6742 1.3243 0.8936
Hg 3.0563 6.3987 2.8841
Hg 0.1058 0.5116 3.9276
Sm 1.5605 3.5374 3.3222
Tm -1.6756 1.1057 1.5005
Sm 3.2468 0.0845 3.5633
Hg 3.1331 2.2976 5.9919
Hg 1.7509 -2.7767 4.0014
Hg 4.7014 3.1104 2.9579
Hg 1.6784 -0.4170 6.3679
```

## Properties
Magnetization ... 0.00 μB/f.u.
E ... -1.81 eV/atom
Fermi-level density of states ... 5.19 states/eV per cell
Energy relative to the elements ... -324 meV per atom

=====

Entry 2:
First-principles (PBE) data for a geometry-optimized Hf4RePb structure, as listed in Alexandria via LeMat-Bulk.

```
6
Lattice="3.2425 -0.0006 0.0001 0.0006 3.2425 0.0001 -0.0006 -0.0006 12.2912" Properties=species:S:1:pos:R:3 pbc="T T T"
Hf 3.2427 3.2415 8.5307
Re 0.0000 0.0000 0.0000
Hf -0.0001 -0.0001 3.7607
Hf 1.6215 1.6209 1.6285
Hf 1.6210 1.6204 10.6629
Pb 1.6213 1.6207 6.1457
```

## Properties
Magnetization ... 0.00 μB/f.u.
E ... -9.43 eV/atom
Fermi-level density of states ... 5.50 states/eV per cell
Energy relative to the elements ... -100 meV per atom
Energy above the lowest structure with this stoichiometry ... 0.000 eV per atom

=====

Entry 3:
First-principles (PBE) data for a geometry-optimized CeNdEr2 structure, as listed in Alexandria via LeMat-Bulk.

```
4
Lattice="3.5557 0.0000 0.0000 0.0000 3.5557 0.0000 0.0000 0.0000 9.9188" Properties=species:S:1:pos:R:3 pbc="T T T"
Er 0.0000 0.0000 7.5348
Er 0.0000 0.0000 2.3840
Ce 1.7779 1.7779 0.0000
Nd 1.7779 1.7779 4.9594
```

## Properties
Magnetization ... 0.63 μB/f.u.
E ... -4.90 eV/atom
Fermi-level density of states ... 7.55 states/eV per cell
Energy relative to the elements ... 59 meV per atom
Energy above the lowest structure with this stoichiometry ... 0.026 eV per atom

=====

Entry 4:
First-principles (PBE) data for a geometry-optimized PrDyY2Tm5 structure, as listed in Alexandria via LeMat-Bulk.

```
18
Lattice="5.5849 0.0000 0.0000 -2.7925 9.8139 0.0000 0.0000 0.0000 10.5456" Properties=species:S:1:pos:R:3 pbc="T T T"
Tm 2.7925 4.2732 8.5552
Dy 0.0000 3.9580 0.1262
Dy 2.7925 5.8559 5.3990
Tm 0.0000 0.3706 0.2775
Pr 0.0000 8.1982 4.7844
Tm 2.7925 2.1814 5.5000
Tm 0.0000 9.4009 7.7591
Tm 0.0000 5.8544 7.4893
Tm 0.0000 7.6325 0.2271
Y 0.0000 2.2137 3.3730
Y 2.7925 7.6002 8.6458
Tm 0.0000 5.5406 3.2823
Y 2.7925 7.6418 2.4617
Y 0.0000 2.1721 7.7345
Tm 2.7925 3.9595 2.2165
Pr 2.7925 1.6157 10.0572
Tm 2.7925 9.4433 5.5503
Tm 2.7925 0.4130 2.4862
```

## Properties
Magnetization ... 0.00 μB/f.u.
E ... -4.80 eV/atom
Fermi-level density of states ... 29.09 states/eV per cell
Energy relative to the elements ... 162 meV per atom

=====

What did the fourth record say?
First-principles (PBE) data for a geometry-optimized PrDyY2Tm5 structure, as listed in Alexandria via LeMat-Bulk.

```
18
Lattice="5.5849 0.0000 0.0000 -2.7925 9.8139 0.0000 0.0000 0.0000 10.5456" Properties=species:S:1:pos:R:3 pbc="T T T"
Tm 2.7925 4.2732 8.5552
Dy 0.0000 3.9580 0.1262
Dy 2.7925 5.8559 5.3990
Tm 0.0000 0.3706 0.2775
Pr 0.0000 8.1982 4.7844
Tm 2.7925 2.1814 5.5000
Tm 0.0000 9.4009 7.7591
Tm 0.0000 5.8544 7.4893
Tm 0.0000 7.6325 0.2271
Y 0.0000 2.2137 3.3730
Y 2.7925 7.6002 8.6458
Tm 0.0000 5.5406 3.2823
Y 2.7925 7.6418 2.4617
Y 0.0000 2.1721 7.7345
Tm 2.7925 3.9595 2.2165
Pr 2.7925 1.6157 10.0572
Tm 2.7925 9.4433 5.5503
Tm 2.7925 0.4130 2.4862
```

## Properties
Magnetization ... 0.00 μB/f.u.
E ... -4.80 eV/atom
Fermi-level density of states ... 29.09 states/eV per cell
Energy relative to the elements ... 162 meV per atom